# 1
Compound: InTeH3
Source: Alexandria via LeMat-Bulk
Functional: PBE-GGA
Structure: optimized geometry

Cell lengths 4.210, 4.210, 4.210 Å; angles 90.00, 90.00, 90.00 degrees
Element x y z (fractional)
H  0.000  0.500  0.000
H  0.000  0.000  0.500
H  0.500  0.000  0.000
Te  0.000  0.000  0.000
In  0.500  0.500  0.500

M_tot = 0.00 μB per atom
crystal system = cubic
energy relative to the lowest polymorph listed for this composition = 0.0 meV/atom
space group = Pm-3m, No. 221



# 2
Compound: K2AuSeBr
Source: Alexandria via LeMat-Bulk
Functional: PBE-GGA
Structure: optimized geometry

Cell lengths 6.350, 6.350, 4.814 Å; angles 90.00, 90.00, 90.00 degrees
Element x y z (fractional)
K  0.000  0.500  0.000
K  0.500  0.000  0.000
Au  0.000  0.000  0.500
Se  0.000  0.000  0.000
Br  0.500  0.500  0.500

M_tot = 0.00 μB per atom
energy relative to the elements, uncorrected = -0.907 eV per atom
crystal system = tetragonal
space group = P4/mmm, No. 123



# 3
Compound: Pr2NpO7
Source: Alexandria via LeMat-Bulk
Functional: PBE-GGA
Structure: optimized geometry

Cell lengths 7.169, 7.061, 8.643 Å; angles 68.47, 50.55, 58.24 degrees
Site moments in Bohr magnetons follow the coordinates.
Element x y z (fractional)
Pr  0.749  0.894  0.729  0.00
Pr  0.556  0.462  0.211  0.00
Pr  0.444  0.538  0.789  0.00
Pr  0.251  0.106  0.271  0.00
Np  0.052  0.158  0.755  1.22
Np  0.948  0.842  0.245  1.22
O  0.795  0.494  0.832  -0.03
O  0.846  0.156  0.298  -0.04
O  0.247  0.876  0.962  -0.04
O  0.312  0.215  0.471  -0.04
O  0.349  0.215  0.935  0.00
O  0.850  0.222  0.622  -0.03
O  0.348  0.249  0.757  -0.01
O  0.652  0.751  0.243  -0.01
O  0.150  0.778  0.378  -0.03
O  0.651  0.785  0.065  0.00
O  0.688  0.785  0.529  -0.04
O  0.753  0.124  0.038  -0.04
O  0.154  0.844  0.702  -0.04
O  0.205  0.506  0.168  -0.03

M_tot = 0.10 μB per atom
energy relative to the elements, uncorrected = -2.745 eV per atom
crystal system = triclinic
space group = P-1, No. 2



# 4
Compound: Ce5ScRu6
Source: Alexandria via LeMat-Bulk
Functional: PBE-GGA
Structure: optimized geometry

Cell lengths 4.728, 6.702, 8.661 Å; angles 67.35, 69.71, 89.59 degrees
Element x y z (fractional)
Sc  0.000  0.000  0.000
Ru  0.797  0.596  0.310
Ru  0.796  0.094  0.312
Ru  0.501  0.752  0.000
Ru  0.499  0.248  0.000
Ru  0.204  0.906  0.688
Ru  0.203  0.404  0.690
Ce  0.698  0.163  0.672
Ce  0.281  0.326  0.349
Ce  0.000  0.500  0.000
Ce  0.719  0.674  0.651
Ce  0.302  0.837  0.328

M_tot = 0.00 μB per atom
ΔH_f (0 K) = -0.36 eV per atom
crystal system = triclinic
space group = P-1, No. 2



# 5
Compound: Pr5BiAs4
Source: Alexandria via LeMat-Bulk
Functional: PBE-GGA
Structure: optimized geometry

Cell lengths 4.359, 7.582, 9.794 Å; angles 75.30, 77.14, 73.29 degrees
Element x y z (fractional)
Pr  0.205  0.902  0.688
Pr  0.795  0.098  0.312
Pr  0.392  0.324  0.891
Pr  0.000  0.500  0.500
Pr  0.608  0.676  0.109
Bi  0.000  0.000  0.000
As  0.598  0.204  0.601
As  0.202  0.392  0.204
As  0.798  0.608  0.796
As  0.402  0.796  0.399

M_tot = 0.00 μB per atom
ΔH_f (0 K) = -1.37 eV per atom
crystal system = monoclinic
space group = C2/m, No. 12



# 6
Compound: PmY2Bi
Source: Alexandria via LeMat-Bulk
Functional: PBE-GGA
Structure: optimized geometry

Cell lengths 4.073, 4.073, 9.912 Å; angles 78.14, 78.14, 60.00 degrees
Site moments in Bohr magnetons follow the coordinates.
Element x y z (fractional)
Pm  0.501  0.501  0.498  0.13
Y  0.069  0.069  0.793  0.11
Y  0.264  0.264  0.208  0.01
Bi  0.666  0.666  0.001  0.00

M_tot = 0.15 μB per atom
ΔH_f (0 K) = -0.21 eV per atom
crystal system = trigonal
energy relative to the lowest polymorph listed for this composition = 259.3 meV/atom
space group = R3m, No. 160